Material: LiLaPr2
Method: DFT, PBE-GGA
State: relaxed

POSCAR file:
```
LiLaPr2
1.0
3.768 0.000 0.000
0.000 3.768 0.000
0.000 0.000 9.100
Li La Pr
1 1 2
Direct
0.500 0.500 0.000
0.500 0.500 0.500
0.000 0.000 0.222
0.000 0.000 0.778
```

Results
Energy of formation from the pure elements: 0.055 eV per atom
Magnetization: 0.000 μB per formula unit
E above lowest polymorph: 0.0 meV per atom
V: 129.2 Å³/f.u.
ρ: 5.50 g cm⁻³



Material: LiLaPr2
Method: DFT, PBE-GGA
State: relaxed

POSCAR file:
```
LiLaPr2
1.0
3.643 0.000 0.000
1.822 3.155 0.000
1.822 1.052 11.612
Pr Li La
2 1 1
Direct
0.746 0.746 0.761
0.254 0.254 0.239
0.000 0.000 0.000
0.500 0.500 0.500
```

Results
Energy of formation from the pure elements: 0.074 eV per atom
Magnetization: 0.000 μB per formula unit
E above lowest polymorph: 19.1 meV per atom
V: 133.5 Å³/f.u.
ρ: 5.32 g cm⁻³



Material: LiLa2Pr
Method: DFT, PBE-GGA
State: relaxed

POSCAR file:
```
LiLa2Pr
1.0
-2.285 -1.932 -4.895
-0.348 -5.644 -0.973
-5.109 -2.611 0.053
Pr Li La
1 1 2
Direct
0.000 0.000 0.000
0.500 0.500 0.500
0.750 0.750 0.750
0.250 0.250 0.250
```

Results
Energy of formation from the pure elements: 0.165 eV per atom
Magnetization: 0.000 μB per formula unit
E above lowest polymorph: 110.1 meV per atom
V: 133.5 Å³/f.u.
ρ: 5.29 g cm⁻³



Material: LiLa2Pr
Method: DFT, PBE-GGA
State: relaxed

POSCAR file:
```
LiLa2Pr
1.0
-3.328 0.596 -1.329
0.421 -1.945 3.039
-0.828 10.237 6.664
La Li Pr
2 1 1
Direct
0.667 0.333 0.252
0.333 0.667 0.760
0.667 0.333 0.524
0.000 0.000 0.008
```

Results
Energy of formation from the pure elements: 0.123 eV per atom
Magnetization: 0.000 μB per formula unit
E above lowest polymorph: 68.1 meV per atom
V: 139.9 Å³/f.u.
ρ: 5.05 g cm⁻³



Material: LiLa2Pr
Method: DFT, PBE-GGA
State: relaxed

POSCAR file:
```
LiLa2Pr
1.0
3.735 0.000 0.000
0.000 3.735 0.000
0.000 0.000 9.453
Pr La Li
1 2 1
Direct
0.500 0.500 0.500
0.000 0.000 0.772
0.000 0.000 0.228
0.500 0.500 0.000
```

Results
Energy of formation from the pure elements: 0.055 eV per atom
Magnetization: 0.000 μB per formula unit
E above lowest polymorph: 0.0 meV per atom
V: 131.9 Å³/f.u.
ρ: 5.36 g cm⁻³



Material: LiLa2Pr
Method: DFT, PBE-GGA
State: relaxed

POSCAR file:
```
LiLa2Pr
1.0
-0.420 1.665 3.240
2.382 -0.641 2.713
7.291 9.256 -1.738
La Pr Li
2 1 1
Direct
0.253 0.253 0.240
0.080 0.080 0.760
0.500 0.500 0.501
0.667 0.667 0.999
```

Results
Energy of formation from the pure elements: 0.090 eV per atom
Magnetization: 0.001 μB per formula unit
E above lowest polymorph: 35.2 meV per atom
V: 136.5 Å³/f.u.
ρ: 5.18 g cm⁻³



Material: LiLa12Pr3
Method: DFT, PBE-GGA
State: relaxed

POSCAR file:
```
LiLa12Pr3
1.0
-0.662 -4.114 3.190
-1.868 -2.814 -4.016
19.258 -6.509 -4.398
La Li Pr
12 1 3
Direct
0.500 0.000 0.878
0.000 0.500 0.122
0.500 0.000 0.373
0.000 0.500 0.373
0.500 0.000 0.122
0.000 0.500 0.878
0.500 0.000 0.627
0.500 0.500 0.755
0.500 0.500 0.500
0.500 0.500 0.000
0.000 0.500 0.627
0.500 0.500 0.245
0.000 0.000 0.000
0.000 0.000 0.500
0.000 0.000 0.755
0.000 0.000 0.245
```

Results
Energy of formation from the pure elements: 0.034 eV per atom
Magnetization: 0.006 μB per formula unit
V: 572.7 Å³/f.u.
ρ: 6.08 g cm⁻³



Material: LiLa8Pr6
Method: DFT, PBE-GGA
State: relaxed

POSCAR file:
```
LiLa8Pr6
1.0
-9.709 3.727 -7.971
-1.373 -10.698 7.440
-1.452 2.100 2.751
Pr La Li
6 8 1
Direct
0.611 0.510 0.742
0.101 0.611 0.258
0.490 0.101 0.742
0.389 0.490 0.258
0.510 0.899 0.258
0.899 0.389 0.742
0.667 0.333 0.248
0.910 0.687 0.770
0.687 0.777 0.230
0.313 0.223 0.770
0.223 0.910 0.230
0.090 0.313 0.230
0.777 0.090 0.770
0.333 0.667 0.752
0.000 0.000 0.500
```

Results
Energy of formation from the pure elements: 0.183 eV per atom
Magnetization: 0.000 μB per formula unit
V: 558.0 Å³/f.u.
ρ: 5.84 g cm⁻³



Material: LiLaPr
Method: DFT, PBE-GGA
State: relaxed

POSCAR file:
```
LiLaPr
1.0
-3.115 1.839 -0.231
0.171 -3.429 -1.161
-2.212 -2.762 7.832
Li La Pr
1 1 1
Direct
0.000 0.000 0.002
0.333 0.667 0.674
0.667 0.333 0.324
```

Results
Energy of formation from the pure elements: 0.093 eV per atom
Magnetization: 0.000 μB per formula unit
E above lowest polymorph: 51.0 meV per atom
V: 97.8 Å³/f.u.
ρ: 4.87 g cm⁻³



Material: Li2LaPr
Method: DFT, PBE-GGA
State: relaxed

POSCAR file:
```
Li2LaPr
1.0
3.873 0.000 0.000
0.000 3.873 0.000
0.000 0.000 7.659
La Li Pr
1 2 1
Direct
0.500 0.500 0.500
0.000 0.000 0.248
0.000 0.000 0.752
0.500 0.500 0.000
```

Results
Energy of formation from the pure elements: 0.146 eV per atom
Magnetization: 0.672 μB per formula unit
E above lowest polymorph: 2.0 meV per atom
V: 114.9 Å³/f.u.
ρ: 4.24 g cm⁻³



Material: Li2LaPr
Method: DFT, PBE-GGA
State: relaxed

POSCAR file:
```
Li2LaPr
1.0
-3.622 -3.955 -1.059
1.204 -3.910 -3.625
0.953 -5.106 1.703
Li Pr La
2 1 1
Direct
0.250 0.250 0.250
0.750 0.750 0.750
0.500 0.500 0.500
0.000 0.000 0.000
```

Results
Energy of formation from the pure elements: 0.147 eV per atom
Magnetization: 0.879 μB per formula unit
E above lowest polymorph: 3.2 meV per atom
V: 115.5 Å³/f.u.
ρ: 4.22 g cm⁻³



Material: LiLaPrRe
Method: DFT, PBE-GGA
State: relaxed

POSCAR file:
```
LiLaPrRe
1.0
-3.037 -2.688 -3.119
1.820 -4.131 -2.408
-1.588 -4.666 1.371
Li Re Pr La
1 1 1 1
Direct
0.750 0.750 0.750
0.250 0.250 0.250
0.000 0.000 0.000
0.500 0.500 0.500
```

Results
Energy of formation from the pure elements: 0.183 eV per atom
Magnetization: 0.000 μB per formula unit
V: 94.7 Å³/f.u.
ρ: 8.29 g cm⁻³